# Sb2Ru2Se PBE relaxed
# ρ	8147	kg/m3
# energy relative to the lowest polymorph listed for this composition	0	meV/atom
# size of the total moment	0.00	Bohr magnetons per cell
data_Sb2Ru2Se
_cell_length_a 4.4533
_cell_length_b 4.4533
_cell_length_c 10.7836
_cell_angle_alpha 90.00
_cell_angle_beta 90.00
_cell_angle_gamma 90.00
_space_group_name_H-M_alt 'I 4/m m m'
_space_group_IT_number 139
_space_group_name_Hall '-I 4 2'
loop_
_atom_site_label
_atom_site_type_symbol
_atom_site_fract_x
_atom_site_fract_y
_atom_site_fract_z
Sb1 Sb 0.0000 0.0000 0.1285
Ru1 Ru 0.0000 0.5000 0.2500
Se1 Se 0.0000 0.0000 0.5000